The following is a DFT calculation (PBE+U) of a relaxed MnClF2 crystal.

```
data_MnClF2
_chemical_formula_sum 'Mn2 Cl2 F4'
_space_group_name_H-M_alt 'P 1 21/m 1'
_space_group_IT_number 11
_cell_length_a 3.0400
_cell_length_b 8.9731
_cell_length_c 5.2836
_cell_angle_alpha 90.00
_cell_angle_beta 93.09
_cell_angle_gamma 90.00
loop_
_space_group_symop_operation_xyz
'x,y,z'
'-x,-y,-z'
'-x,y+1/2,-z'
'x,-y+1/2,z'
loop_
_atom_site_label
_atom_site_type_symbol
_atom_site_fract_x
_atom_site_fract_y
_atom_site_fract_z
Mn1 Mn 0.2244 0.2500 0.3489
Cl1 Cl 0.2186 0.2500 0.8497
F1 F 0.2757 0.6107 0.6529
```

Output
Energy relative to the lowest polymorph listed for this composition in eV per atom: 0.157
Density in g cm⁻³: 2.963
Volume in Å³ per cell: 143.9
Total moment in μB per formula unit: 4.60
DOS at the Fermi energy in states/eV/f.u.: 2.218